No. 1
Computed, not measured: a relaxed K2PrB2O6 crystal at the GGA-PBE level of DFT.

```
11
Lattice="5.735 0.000 0.000 -2.868 4.967 0.000 0.000 0.000 6.577" Properties=species:S:1:pos:R:3 pbc="T T T"
Pr 0.000 0.000 0.000
K 2.868 1.656 4.416
K 0.000 3.311 2.161
B 2.868 1.656 1.365
B 0.000 3.311 5.212
O 1.676 0.968 1.396
O -1.192 3.999 5.181
O 1.192 3.999 5.181
O 4.059 0.968 1.396
O 2.868 3.032 1.396
O 0.000 1.935 5.181
```

* E_form (uncorrected): -2379 meV/atom
* volume: 187.4 Å³/cell
* D(E_F): 4.37 states/eV per cell

---

No. 2
Computed, not measured: a relaxed Tb8Dy2Tl crystal at the GGA-PBE level of DFT.

```
11
Lattice="5.357 0.000 0.000 0.000 8.292 -0.116 -2.679 -3.620 7.823" Properties=species:S:1:pos:R:3 pbc="T T T"
Tb 2.679 2.835 1.583
Tb 0.000 5.903 0.231
Tb 2.679 -1.231 7.476
Tb 2.679 4.137 5.198
Tb 0.000 -1.617 5.161
Tb 0.000 1.837 6.123
Tb 2.679 6.289 2.546
Tb 0.000 0.535 2.509
Dy 2.679 0.728 4.677
Dy 0.000 3.944 3.030
Tl 2.679 0.000 0.000
```

* volume: 345.3 Å³/cell
* E_form: 0.02 eV per atom
* D(E_F): 15.82 states/eV per cell

---

No. 3
Computed, not measured: a relaxed YHf2In crystal at the GGA-PBE level of DFT.

```
8
Lattice="8.315 0.000 0.000 0.000 8.315 0.000 4.158 4.158 3.012" Properties=species:S:1:pos:R:3 pbc="T T T"
Hf 10.394 10.597 2.259
Hf 1.876 6.236 0.753
Hf 6.236 6.034 2.259
Hf 6.439 2.079 0.753
Y 4.158 8.315 1.506
Y 4.158 4.158 0.000
In 0.000 0.000 0.000
In 8.315 4.158 1.506
```

* volume: 208.3 Å³/cell
* E_form: 0.45 eV per atom
* D(E_F): 10.93 states/eV per cell

---

No. 4
Computed, not measured: a relaxed Sm4TmSe5 crystal at the GGA-PBE level of DFT.

```
10
Lattice="4.134 0.000 0.000 0.000 4.134 0.000 -2.067 -2.067 14.731" Properties=species:S:1:pos:R:3 pbc="T T T"
Se 2.067 2.067 5.981
Se 2.067 2.067 0.000
Se 0.000 0.000 2.810
Se 2.067 2.067 11.921
Se 0.000 0.000 8.750
Sm 2.067 2.067 8.996
Sm 0.000 0.000 11.716
Sm 0.000 0.000 5.735
Sm 2.067 2.067 3.015
Tm 0.000 0.000 0.000
```

* E_form (uncorrected): -1781 meV/atom
* volume: 251.7 Å³/cell
* D(E_F): 4.67 states/eV per cell

---

No. 5
Computed, not measured: a relaxed MnPdSe2Br crystal at the GGA-PBE level of DFT.

```
5
Lattice="-2.198 -2.620 -3.380 -2.968 -1.801 3.326 -3.240 3.795 -0.835" Properties=species:S:1:pos:R:3 pbc="T T T"
Br -1.620 1.897 -0.418
Se -1.099 -1.310 -1.690
Se -1.484 -0.901 1.663
Pd -4.203 -0.313 -0.444
Mn 0.000 0.000 0.000
```

* E_form (uncorrected): 317 meV/atom
* distance to the lowest polymorph of the same formula: 0.000 eV per atom
* volume: 117.0 Å³/cell
* D(E_F): 4.94 states/eV per cell

---

No. 6
Computed, not measured: a relaxed SrGe2Bi2 crystal at the GGA-PBE level of DFT.

```
10
Lattice="-6.999 3.287 -2.663 -0.185 -5.381 -6.156 -2.194 -2.703 2.429" Properties=species:S:1:pos:R:3 pbc="T T T"
Bi -3.413 -1.213 -0.724
Bi -5.964 -3.584 -5.667
Bi -6.941 -0.391 -2.996
Bi -2.436 -4.405 -3.395
Ge -2.859 -3.497 -6.475
Ge -4.324 1.403 -2.344
Ge -6.309 -0.399 -6.142
Ge -0.875 -1.695 -2.677
Sr 0.000 0.000 0.000
Sr -3.592 -1.047 -4.410
```

* distance to the lowest polymorph of the same formula: 0.000 eV per atom
* volume: 283.9 Å³/cell
* E_form: -0.13 eV per atom
* D(E_F): 8.79 states/eV per cell

---

No. 7
Computed, not measured: a relaxed BeCuP2S crystal at the GGA-PBE level of DFT.

```
5
Lattice="-3.144 2.951 0.927 -2.742 -3.271 1.112 1.504 0.228 4.378" Properties=species:S:1:pos:R:3 pbc="T T T"
P -1.371 -1.635 0.556
P -1.572 1.475 0.463
Be -2.191 -0.046 3.208
S 0.752 0.114 2.189
Cu 0.000 0.000 0.000
```

* E_form (uncorrected): 1147 meV/atom
* distance to the lowest polymorph of the same formula: 0.397 eV per atom
* volume: 90.1 Å³/cell
* D(E_F): 4.25 states/eV per cell

---

No. 8
Computed, not measured: a relaxed Mo3Se crystal at the GGA-PBE level of DFT.

```
4
Lattice="-1.361 -2.458 -0.330 2.683 -0.423 0.789 -2.452 0.223 8.462" Properties=species:S:1:pos:R:3 pbc="T T T"
Mo -2.432 0.221 8.393
Mo -1.178 -1.273 6.576
Mo -1.246 0.113 4.300
Se 0.048 -1.385 2.345
```

* E_form (uncorrected): 339 meV/atom
* distance to the lowest polymorph of the same formula: 0.182 eV per atom
* volume: 65.8 Å³/cell
* D(E_F): 3.78 states/eV per cell